9
Lattice="8.239 0.000 0.000 -4.119 7.135 0.000 0.000 0.000 3.541" Properties=species:S:1:pos:R:3 comment="HoNiBi, optimized geometry, DFT PBE" sg="P-62m, No. 189" energy_ev_per_atom=-4.753 pbc="T T T"
Ho -1.207 2.090 0.000
Ho 2.413 0.000 0.000
Ho 2.913 5.045 0.000
Ni -2.735 4.738 1.771
Ni 1.384 2.398 1.771
Ni 5.471 0.000 1.771
Bi 0.000 0.000 1.771
Bi 0.000 4.757 0.000
Bi 4.119 2.378 0.000